! CaCe2Rh9, optimized geometry, DFT GGA-PBE; values from VASP
&SYSTEM
  ibrav = 0, nat = 12, ntyp = 3
/
ATOMIC_SPECIES
Ca 40.08 Ca.upf
Ce 140.12 Ce.upf
Rh 102.91 Rh.upf
CELL_PARAMETERS angstrom
2.6391 1.5237 8.8117
-2.6391 1.5237 8.8117
0.0000 -3.0473 8.8117
ATOMIC_POSITIONS angstrom
Ca 0.0000 0.0000 0.0000
Ce 0.0000 0.0000 3.6218
Ce 0.0000 0.0000 22.8132
Rh -1.3270 -0.7662 11.0079
Rh 0.0000 0.0000 8.7987
Rh 0.0000 -1.5323 15.4270
Rh -1.3270 0.7662 15.4270
Rh 0.0000 0.0000 13.2175
Rh 1.3270 -0.7662 11.0079
Rh 0.0000 1.5323 11.0079
Rh 0.0000 0.0000 17.6363
Rh 1.3270 0.7662 15.4270
! Magnetic moment (μB/f.u.): 0.00
! Energy of formation from the pure elements (eV per atom): -0.4764
! Final energy (eV for the cell shown): -85.75